Record 1
First-principles (PBEsol) data for a relaxed Hf2TcRh crystal, as listed in Alexandria.

Structure (POSCAR):
```
Hf2TcRh
1.0
0.000 3.213 3.213
3.213 0.000 3.213
3.213 3.213 0.000
Hf Tc Rh
2 1 1
Direct
0.250 0.250 0.250 Hf
0.750 0.750 0.750 Hf
0.000 0.000 0.000 Tc
0.500 0.500 0.500 Rh
```

crystal system: cubic
calculated formation energy: -0.768 eV/atom
DFT total energy: -10.871 eV/atom

---

Record 2
First-principles (PBEsol) data for a relaxed CaVP4O12 crystal, as listed in Alexandria.

Structure (POSCAR):
```
CaVP4O12
1.0
6.122 -4.348 0.000
6.122 4.348 0.000
-4.799 0.000 8.792
Ca V P O
2 2 8 24
Direct
0.053 0.947 0.750 Ca
0.947 0.053 0.250 Ca
0.000 0.500 0.500 V
0.500 0.000 0.000 V
0.275 0.718 0.029 P
0.282 0.725 0.471 P
0.304 0.313 0.804 P
0.313 0.304 0.304 P
0.687 0.696 0.696 P
0.696 0.687 0.196 P
0.718 0.275 0.529 P
0.725 0.282 0.971 P
0.102 0.828 0.084 O
0.130 0.294 0.329 O
0.172 0.898 0.416 O
0.181 0.351 0.657 O
0.207 0.680 0.573 O
0.252 0.493 0.946 O
0.294 0.130 0.829 O
0.304 0.530 0.328 O
0.320 0.793 0.927 O
0.351 0.181 0.157 O
0.470 0.696 0.172 O
0.493 0.252 0.446 O
0.507 0.748 0.554 O
0.530 0.304 0.828 O
0.649 0.819 0.843 O
0.680 0.207 0.073 O
0.696 0.470 0.672 O
0.706 0.870 0.171 O
0.748 0.507 0.054 O
0.793 0.320 0.427 O
0.819 0.649 0.343 O
0.828 0.102 0.584 O
0.870 0.706 0.671 O
0.898 0.172 0.916 O
```

crystal system: monoclinic
energy relative to the elements, uncorrected: -53.18 kcal/mol of atoms
DFT total energy: -7.746 eV/atom

---

Record 3
First-principles (PBEsol) data for a relaxed Cr3P crystal, as listed in Alexandria.

Structure (POSCAR):
```
Cr3P
1.0
3.531 0.000 0.000
0.000 3.531 0.000
0.000 0.000 3.531
Cr P
3 1
Direct
0.000 0.000 0.500 Cr
0.000 0.500 0.000 Cr
0.500 0.000 0.000 Cr
0.500 0.500 0.500 P
```

crystal system: cubic
calculated formation energy: -0.075 eV/atom
excess energy over the best structure of this formula in the dataset: 34.69 kJ/mol of atoms
DFT total energy: -9.204 eV/atom

---

Record 4
First-principles (PBEsol) data for a relaxed RbGaHg3 crystal, as listed in Alexandria.

Structure (POSCAR):
```
RbGaHg3
1.0
5.307 0.000 0.000
0.000 5.307 0.000
0.000 0.000 5.307
Rb Ga Hg
1 1 3
Direct
0.000 0.000 0.000 Rb
0.500 0.500 0.500 Ga
0.000 0.500 0.500 Hg
0.500 0.000 0.500 Hg
0.500 0.500 0.000 Hg
```

crystal system: cubic
calculated formation energy: -0.095 eV/atom
DFT total energy: -1.308 eV/atom

---

Record 5
First-principles (PBEsol) data for a relaxed ZrRe2Cl crystal, as listed in Alexandria.

Structure (POSCAR):
```
ZrRe2Cl
1.0
5.330 -1.495 0.000
5.330 1.495 0.000
-0.145 0.000 4.193
Zr Re Cl
1 2 1
Direct
0.000 0.000 0.000 Zr
0.283 0.283 0.776 Re
0.717 0.717 0.224 Re
0.500 0.500 0.500 Cl
```

crystal system: monoclinic
excess energy over the best structure of this formula in the dataset: 21.60 kJ/mol of atoms
energy relative to the elements, uncorrected: 3.10 kcal/mol of atoms
DFT total energy: -9.306 eV/atom

---

Record 6
First-principles (PBEsol) data for a relaxed BaSbSe2 crystal, as listed in Alexandria.

Structure (POSCAR):
```
BaSbSe2
1.0
0.000 3.803 3.803
3.803 0.000 3.803
3.803 3.803 0.000
Ba Sb Se
1 1 2
Direct
0.000 0.000 0.000 Ba
0.750 0.750 0.750 Sb
0.250 0.250 0.250 Se
0.500 0.500 0.500 Se
```

crystal system: cubic
energy relative to the elements, uncorrected: -7.35 kcal/mol of atoms
DFT total energy: -3.920 eV/atom